No. 1
## La6P3Br2 (GGA-PBE)

Data for crystalline La6P3Br2 at its relaxed geometry.

Computed properties:
Magnetization   0.00 μB/f.u.
Crystal system   monoclinic
Energy relative to the elements, uncorrected   -1.441 eV per atom
Calculated volume   335 Å³/f.u.
Symmetry   C2/m (12)

Unit cell a=7.349 b=7.349 c=7.572 alpha=99.36 beta=99.36 gamma=119.87
Fractional coordinates of all 11 atoms:
La  0.092  0.422  0.779
La  0.235  0.235  0.217
La  0.422  0.092  0.779
La  0.578  0.908  0.221
La  0.765  0.765  0.783
La  0.908  0.578  0.221
P  0.170  0.830  0.000
P  0.500  0.500  0.000
P  0.830  0.170  0.000
Br  0.335  0.665  0.500
Br  0.665  0.335  0.500

---

No. 2
## Tm2ScNi (GGA-PBE)

Data for crystalline Tm2ScNi at its relaxed geometry.

Computed properties:
Magnetization   0.00 μB/f.u.
Crystal system   orthorhombic
Excess energy over the best structure of this formula in the dataset   0.000 eV per atom
Formation energy   -1.1 eV per formula unit
Calculated volume   93 Å³/f.u.
Symmetry   Pnma (62)

Unit cell a=6.610 b=9.084 c=6.204 alpha=90.00 beta=90.00 gamma=90.00
Fractional coordinates of all 16 atoms:
Tm  0.185  0.062  0.183
Tm  0.185  0.438  0.183
Tm  0.315  0.562  0.683
Tm  0.315  0.938  0.683
Tm  0.685  0.062  0.317
Tm  0.685  0.438  0.317
Tm  0.815  0.562  0.817
Tm  0.815  0.938  0.817
Sc  0.035  0.250  0.630
Sc  0.465  0.750  0.130
Sc  0.535  0.250  0.870
Sc  0.965  0.750  0.370
Ni  0.101  0.750  0.974
Ni  0.399  0.250  0.474
Ni  0.601  0.750  0.526
Ni  0.899  0.250  0.026

---

No. 3
## CdIn4HgBi2 (GGA-PBE)

Data for crystalline CdIn4HgBi2 at its relaxed geometry.

Computed properties:
Magnetization   0.00 μB/f.u.
Crystal system   monoclinic
Formation energy   0.4 eV per formula unit
Calculated volume   241 Å³/f.u.
Symmetry   P2/m (10)

Unit cell a=7.159 b=4.773 c=7.728 alpha=90.00 beta=114.29 gamma=90.00
Fractional coordinates of all 8 atoms:
Cd  0.000  0.000  0.000
In  0.239  0.500  0.244
In  0.242  0.000  0.747
In  0.758  0.000  0.253
In  0.761  0.500  0.756
Hg  0.000  0.500  0.500
Bi  0.500  0.000  0.500
Bi  0.500  0.500  0.000

---

No. 4
## NdSi (GGA-PBE)

Data for crystalline NdSi at its relaxed geometry.

Computed properties:
Magnetization   0.00 μB/f.u.
Crystal system   orthorhombic
Energy relative to the elements, uncorrected   -0.763 eV per atom
Calculated volume   48 Å³/f.u.
Symmetry   Pnma (62)

Unit cell a=8.255 b=3.947 c=5.924 alpha=90.00 beta=90.00 gamma=90.00
Fractional coordinates of all 8 atoms:
Nd  0.180  0.250  0.114
Nd  0.320  0.750  0.614
Nd  0.680  0.250  0.386
Nd  0.820  0.750  0.886
Si  0.035  0.250  0.621
Si  0.465  0.750  0.121
Si  0.535  0.250  0.879
Si  0.965  0.750  0.379

---

No. 5
## SrFeSeBr2 (GGA-PBE)

Data for crystalline SrFeSeBr2 at its relaxed geometry.

Computed properties:
Magnetization   3.59 μB/f.u.
Crystal system   tetragonal
Excess energy over the best structure of this formula in the dataset   0.000 eV per atom
Energy relative to the elements, uncorrected   -0.891 eV per atom
Calculated volume   132 Å³/f.u.
Symmetry   P4/mmm (123)

Unit cell a=5.151 b=5.151 c=4.992 alpha=90.00 beta=90.00 gamma=90.00
Fractional coordinates of all 5 atoms:
Sr  0.000  0.000  0.000
Fe  0.500  0.500  0.500
Se  0.500  0.500  0.000
Br  0.000  0.500  0.500
Br  0.500  0.000  0.500

---

No. 6
## Er6InPd2 (GGA-PBE)

Data for crystalline Er6InPd2 at its relaxed geometry.

Computed properties:
Magnetization   0.00 μB/f.u.
Crystal system   orthorhombic
Formation energy   -5.0 eV per formula unit
Calculated volume   235 Å³/f.u.
Symmetry   Immm (71)

Unit cell a=8.499 b=8.499 c=8.499 alpha=112.79 beta=110.54 gamma=105.17
Fractional coordinates of all 18 atoms:
Er  0.037  0.237  0.800
Er  0.183  0.289  0.473
Er  0.183  0.711  0.894
Er  0.327  0.028  0.701
Er  0.327  0.626  0.299
Er  0.438  0.237  0.200
Er  0.562  0.763  0.800
Er  0.673  0.374  0.701
Er  0.673  0.972  0.299
Er  0.817  0.289  0.106
Er  0.817  0.711  0.527
Er  0.963  0.763  0.200
In  0.000  0.000  0.000
In  0.500  0.500  0.000
Pd  0.133  0.633  0.500
Pd  0.344  0.000  0.344
Pd  0.656  0.000  0.656
Pd  0.867  0.367  0.500

---

No. 7
## Sc2AgPt (GGA-PBE)

Data for crystalline Sc2AgPt at its relaxed geometry.

Computed properties:
Magnetization   0.00 μB/f.u.
Crystal system   cubic
Formation energy   -3.1 eV per formula unit
Calculated volume   75 Å³/f.u.
Symmetry   Fm-3m (225)

Unit cell a=6.708 b=6.708 c=6.708 alpha=90.00 beta=90.00 gamma=90.00
Fractional coordinates of all 16 atoms:
Sc  0.250  0.250  0.250
Sc  0.250  0.250  0.750
Sc  0.250  0.750  0.250
Sc  0.250  0.750  0.750
Sc  0.750  0.250  0.250
Sc  0.750  0.250  0.750
Sc  0.750  0.750  0.250
Sc  0.750  0.750  0.750
Ag  0.000  0.000  0.000
Ag  0.000  0.500  0.500
Ag  0.500  0.000  0.500
Ag  0.500  0.500  0.000
Pt  0.000  0.000  0.500
Pt  0.000  0.500  0.000
Pt  0.500  0.000  0.000
Pt  0.500  0.500  0.500

---

No. 8
## CuIrRh2F (GGA-PBE)

Data for crystalline CuIrRh2F at its relaxed geometry.

Computed properties:
Magnetization   0.00 μB/f.u.
Crystal system   tetragonal
Energy relative to the elements, uncorrected   0.996 eV per atom
Calculated volume   74 Å³/f.u.
Symmetry   P4/mmm (123)

Unit cell a=4.165 b=4.165 c=4.287 alpha=90.00 beta=90.00 gamma=90.00
Fractional coordinates of all 5 atoms:
Cu  0.000  0.000  0.000
Ir  0.500  0.500  0.000
Rh  0.000  0.500  0.500
Rh  0.500  0.000  0.500
F  0.500  0.500  0.500

---

No. 9
## NdSiW (GGA-PBE)

Data for crystalline NdSiW at its relaxed geometry.

Computed properties:
Magnetization   0.00 μB/f.u.
Crystal system   tetragonal
Energy relative to the elements, uncorrected   -0.381 eV per atom
Calculated volume   63 Å³/f.u.
Symmetry   P4/nmm (129)

Unit cell a=3.949 b=3.949 c=8.020 alpha=90.00 beta=90.00 gamma=90.00
Fractional coordinates of all 6 atoms:
Nd  0.250  0.250  0.147
Nd  0.750  0.750  0.853
Si  0.250  0.250  0.717
Si  0.750  0.750  0.283
W  0.250  0.750  0.500
W  0.750  0.250  0.500

---

No. 10
## NpSbPtAu (GGA-PBE)

Data for crystalline NpSbPtAu at its relaxed geometry.

Computed properties:
Magnetization   3.59 μB/f.u.
Crystal system   cubic
Energy relative to the elements, uncorrected   -0.292 eV per atom
Calculated volume   85 Å³/f.u.
Symmetry   F-43m (216)

Unit cell a=6.979 b=6.979 c=6.979 alpha=90.00 beta=90.00 gamma=90.00
Fractional coordinates of all 16 atoms:
Np  0.000  0.000  0.000
Np  0.000  0.500  0.500
Np  0.500  0.000  0.500
Np  0.500  0.500  0.000
Sb  0.000  0.000  0.500
Sb  0.000  0.500  0.000
Sb  0.500  0.000  0.000
Sb  0.500  0.500  0.500
Pt  0.250  0.250  0.750
Pt  0.250  0.750  0.250
Pt  0.750  0.250  0.250
Pt  0.750  0.750  0.750
Au  0.250  0.250  0.250
Au  0.250  0.750  0.750
Au  0.750  0.250  0.750
Au  0.750  0.750  0.250

---

No. 11
## BaCa2Sc (GGA-PBE)

Data for crystalline BaCa2Sc at its relaxed geometry.

Computed properties:
Magnetization   0.01 μB/f.u.
Crystal system   monoclinic
Excess energy over the best structure of this formula in the dataset   0.069 eV per atom
Formation energy   1.0 eV per formula unit
Calculated volume   159 Å³/f.u.
Symmetry   Cm (8)

Unit cell a=13.711 b=4.203 c=6.175 alpha=90.00 beta=116.65 gamma=90.00
Fractional coordinates of all 8 atoms:
Ba  0.000  0.000  0.000
Ba  0.500  0.500  0.000
Ca  0.228  0.000  0.726
Ca  0.469  0.000  0.469
Ca  0.728  0.500  0.726
Ca  0.969  0.500  0.469
Sc  0.245  0.500  0.243
Sc  0.745  0.000  0.243

---

No. 12
## Mg2AlBiO6 (GGA-PBE)

Data for crystalline Mg2AlBiO6 at its relaxed geometry.

Computed properties:
Magnetization   0.00 μB/f.u.
Crystal system   trigonal
Energy relative to the elements, uncorrected   -2.101 eV per atom
Calculated volume   110 Å³/f.u.
Symmetry   R3 (146)

Unit cell a=5.551 b=5.551 c=5.551 alpha=56.23 beta=56.23 gamma=56.23
Fractional coordinates of all 10 atoms:
Mg  0.000  0.000  0.000
Mg  0.495  0.495  0.495
Al  0.707  0.707  0.707
Bi  0.208  0.208  0.208
O  0.078  0.801  0.429
O  0.324  0.610  0.895
O  0.429  0.078  0.801
O  0.610  0.895  0.324
O  0.801  0.429  0.078
O  0.895  0.324  0.610

---

No. 13
## Sm2InSb (GGA-PBE)

Data for crystalline Sm2InSb at its relaxed geometry.

Computed properties:
Magnetization   0.00 μB/f.u.
Crystal system   trigonal
Excess energy over the best structure of this formula in the dataset   0.104 eV per atom
Energy relative to the elements, uncorrected   -0.697 eV per atom
Calculated volume   127 Å³/f.u.
Symmetry   R-3m (166)

Unit cell a=4.271 b=4.271 c=24.197 alpha=90.00 beta=90.00 gamma=120.00
Fractional coordinates of all 12 atoms:
Sm  0.000  0.000  0.244
Sm  0.000  0.000  0.756
Sm  0.333  0.667  0.423
Sm  0.333  0.667  0.910
Sm  0.667  0.333  0.090
Sm  0.667  0.333  0.577
In  0.000  0.000  0.000
In  0.333  0.667  0.667
In  0.667  0.333  0.333
Sb  0.000  0.000  0.500
Sb  0.333  0.667  0.167
Sb  0.667  0.333  0.833

---

No. 14
## Li2ErInSe4 (GGA-PBE)

Data for crystalline Li2ErInSe4 at its relaxed geometry.

Computed properties:
Magnetization   0.00 μB/f.u.
Crystal system   monoclinic
Energy relative to the elements, uncorrected   -1.228 eV per atom
Calculated volume   180 Å³/f.u.
Symmetry   P2/m (10)

Unit cell a=6.909 b=3.997 c=6.919 alpha=90.00 beta=109.41 gamma=90.00
Fractional coordinates of all 8 atoms:
Li  0.000  0.000  0.000
Li  0.500  0.500  0.000
Er  0.000  0.500  0.500
In  0.500  0.000  0.500
Se  0.249  0.000  0.755
Se  0.261  0.500  0.253
Se  0.739  0.500  0.747
Se  0.751  0.000  0.245

---

No. 15
## Ce7CI12 (GGA-PBE)

Data for crystalline Ce7CI12 at its relaxed geometry.

Computed properties:
Magnetization   10.63 μB/f.u.
Crystal system   trigonal
Energy relative to the elements, uncorrected   -1.140 eV per atom
Calculated volume   785 Å³/f.u.
Symmetry   R-3 (148)

Unit cell a=9.848 b=9.848 c=9.848 alpha=107.49 beta=107.49 gamma=107.49
Fractional coordinates of all 20 atoms:
Ce  0.000  0.000  0.000
Ce  0.210  0.400  0.468
Ce  0.400  0.468  0.210
Ce  0.468  0.210  0.400
Ce  0.532  0.790  0.600
Ce  0.600  0.532  0.790
Ce  0.790  0.600  0.532
C  0.500  0.500  0.500
I  0.028  0.351  0.112
I  0.112  0.028  0.351
I  0.183  0.726  0.576
I  0.274  0.424  0.817
I  0.351  0.112  0.028
I  0.424  0.817  0.274
I  0.576  0.183  0.726
I  0.649  0.888  0.972
I  0.726  0.576  0.183
I  0.817  0.274  0.424
I  0.888  0.972  0.649
I  0.972  0.649  0.888

---

No. 16
## MnAsCl2 (GGA-PBE)

Data for crystalline MnAsCl2 at its relaxed geometry.

Computed properties:
Magnetization   4.00 μB/f.u.
Crystal system   monoclinic
Excess energy over the best structure of this formula in the dataset   0.001 eV per atom
Energy relative to the elements, uncorrected   -0.419 eV per atom
Calculated volume   113 Å³/f.u.
Symmetry   Cm (8)

Unit cell a=13.632 b=3.301 c=5.169 alpha=90.00 beta=103.47 gamma=90.00
Fractional coordinates of all 8 atoms:
Mn  0.000  0.000  0.000
Mn  0.500  0.500  0.000
As  0.366  0.000  0.763
As  0.866  0.500  0.763
Cl  0.128  0.500  0.081
Cl  0.418  0.000  0.355
Cl  0.628  0.000  0.081
Cl  0.918  0.500  0.355

---

No. 17
## Tm2AlO4 (GGA-PBE)

Data for crystalline Tm2AlO4 at its relaxed geometry.

Computed properties:
Magnetization   0.00 μB/f.u.
Crystal system   monoclinic
Energy relative to the elements, uncorrected   -2.969 eV per atom
Calculated volume   79 Å³/f.u.
Symmetry   C2/m (12)

Unit cell a=10.004 b=2.980 c=6.022 alpha=90.00 beta=118.80 gamma=90.00
Fractional coordinates of all 14 atoms:
Tm  0.156  0.000  0.194
Tm  0.344  0.500  0.806
Tm  0.656  0.500  0.194
Tm  0.844  0.000  0.806
Al  0.000  0.500  0.500
Al  0.500  0.000  0.500
O  0.047  0.500  0.843
O  0.148  0.000  0.567
O  0.352  0.500  0.433
O  0.453  0.000  0.157
O  0.547  0.000  0.843
O  0.648  0.500  0.567
O  0.852  0.000  0.433
O  0.953  0.500  0.157

---

No. 18
## Tb2PrSmAs4 (GGA-PBE)

Data for crystalline Tb2PrSmAs4 at its relaxed geometry.

Computed properties:
Magnetization   0.00 μB/f.u.
Crystal system   monoclinic
Formation energy   -12.2 eV per formula unit
Calculated volume   210 Å³/f.u.
Symmetry   P2/m (10)

Unit cell a=7.273 b=4.204 c=7.276 alpha=90.00 beta=109.47 gamma=90.00
Fractional coordinates of all 8 atoms:
Tb  0.000  0.000  0.000
Tb  0.000  0.500  0.500
Pr  0.500  0.000  0.500
Sm  0.500  0.500  0.000
As  0.242  0.500  0.245
As  0.244  0.000  0.750
As  0.756  0.000  0.250
As  0.758  0.500  0.755

---

No. 19
## Tm2HfRu3 (GGA-PBE)

Data for crystalline Tm2HfRu3 at its relaxed geometry.

Computed properties:
Magnetization   0.00 μB/f.u.
Crystal system   trigonal
Formation energy   -3.4 eV per formula unit
Calculated volume   109 Å³/f.u.
Symmetry   P-3m1 (164)

Unit cell a=4.676 b=4.676 c=11.515 alpha=90.00 beta=90.00 gamma=120.00
Fractional coordinates of all 12 atoms:
Tm  0.000  0.000  0.000
Tm  0.000  0.000  0.500
Tm  0.333  0.667  0.169
Tm  0.667  0.333  0.831
Hf  0.333  0.667  0.665
Hf  0.667  0.333  0.335
Ru  0.000  0.000  0.257
Ru  0.000  0.000  0.743
Ru  0.333  0.667  0.418
Ru  0.333  0.667  0.909
Ru  0.667  0.333  0.091
Ru  0.667  0.333  0.582

---

No. 20
## Pm2PaReN6 (GGA-PBE)

Data for crystalline Pm2PaReN6 at its relaxed geometry.

Computed properties:
Magnetization   0.00 μB/f.u.
Crystal system   monoclinic
Energy relative to the elements, uncorrected   -0.952 eV per atom
Calculated volume   139 Å³/f.u.
Symmetry   P2_1/c (14)

Unit cell a=5.758 b=5.900 c=9.929 alpha=90.00 beta=124.42 gamma=90.00
Fractional coordinates of all 20 atoms:
Pm  0.234  0.052  0.250
Pm  0.234  0.448  0.750
Pm  0.766  0.552  0.250
Pm  0.766  0.948  0.750
Pa  0.500  0.000  0.000
Pa  0.500  0.500  0.500
Re  0.000  0.000  0.500
Re  0.000  0.500  0.000
N  0.139  0.214  0.943
N  0.139  0.286  0.443
N  0.220  0.692  0.946
N  0.220  0.808  0.446
N  0.333  0.030  0.730
N  0.333  0.470  0.230
N  0.667  0.530  0.770
N  0.667  0.970  0.270
N  0.780  0.192  0.554
N  0.780  0.308  0.054
N  0.861  0.714  0.557
N  0.861  0.786  0.057

---

No. 21
## SmEr8 (GGA-PBE)

Data for crystalline SmEr8 at its relaxed geometry.

Computed properties:
Magnetization   0.00 μB/f.u.
Crystal system   tetragonal
Formation energy   0.2 eV per formula unit
Calculated volume   277 Å³/f.u.
Symmetry   I4/mmm (139)

Unit cell a=7.873 b=7.873 c=7.873 alpha=95.71 beta=95.71 gamma=143.24
Fractional coordinates of all 9 atoms:
Sm  0.000  0.000  0.000
Er  0.000  0.334  0.334
Er  0.000  0.666  0.666
Er  0.333  0.333  0.665
Er  0.333  0.667  0.000
Er  0.334  0.000  0.334
Er  0.666  0.000  0.666
Er  0.667  0.333  0.000
Er  0.667  0.667  0.335

---

No. 22
## CeTh2Sn2Ru5 (GGA-PBE)

Data for crystalline CeTh2Sn2Ru5 at its relaxed geometry.

Computed properties:
Magnetization   0.00 μB/f.u.
Crystal system   tetragonal
Formation energy   -2.3 eV per formula unit
Calculated volume   206 Å³/f.u.
Symmetry   P4/mbm (127)

Unit cell a=10.551 b=10.551 c=3.700 alpha=90.00 beta=90.00 gamma=90.00
Fractional coordinates of all 20 atoms:
Ce  0.000  0.000  0.000
Ce  0.500  0.500  0.000
Th  0.168  0.332  0.000
Th  0.332  0.832  0.000
Th  0.668  0.168  0.000
Th  0.832  0.668  0.000
Sn  0.129  0.629  0.000
Sn  0.371  0.129  0.000
Sn  0.629  0.871  0.000
Sn  0.871  0.371  0.000
Ru  0.000  0.500  0.500
Ru  0.058  0.796  0.500
Ru  0.204  0.058  0.500
Ru  0.296  0.558  0.500
Ru  0.442  0.296  0.500
Ru  0.500  0.000  0.500
Ru  0.558  0.704  0.500
Ru  0.704  0.442  0.500
Ru  0.796  0.942  0.500
Ru  0.942  0.204  0.500